The following is a DFT calculation (PBE) of crystalline CrRe2Tc at its relaxed geometry.

Lattice parameters (Å, degrees): 4.690 4.690 4.715 80.51 80.51 33.92
Element x y z (fractional)
Cr: 0.250 0.250 0.251
Re: 0.998 0.998 0.007
Re: 0.750 0.750 0.748
Tc: 0.502 0.502 0.494

Output
As for the space-group type: Cm (8). The calculation puts the calculated density at 15.21 g/cm³. Its relative energy among the computed polymorphs is 11 meV/atom. The value obtained for the formation energy is 0.1395 eV per atom.